Density functional theory data (GGA-PBE) for AcSmScAg after structural relaxation.

Properties
- V (Å³/f.u.) = 114.2
- energy of formation (meV/atom) = 199
- E (eV/atom) = -4.304
- size of the total moment (μB per atom) = 0.367

Cell lengths 5.446, 5.446, 5.446 Å; angles 60.00, 60.00, 60.00 degrees
Fractional coordinates of all 4 atoms:
1 Sc 0.250 0.250 0.250
2 Ac 0.500 0.500 0.500
3 Ag 0.000 0.000 0.000
4 Sm 0.750 0.750 0.750